## Mo7P (PBE)

Data for a relaxed Mo7P crystal.

Its total magnetization is 0.0 μB/cell. Its density of states at the Fermi level is 1.200 states/eV per atom. As for the total DFT energy (no corrections): -78.84 eV/cell. The calculation puts the formation energy at 0.2982 eV per atom.

a b c (Å): 5.599 5.599 5.599
angles (deg): 60.00 60.00 60.00
Fractional coordinates of all 8 atoms:
Mo1 0.000 0.000 0.000
Mo2 0.000 0.000 0.500
Mo3 0.000 0.500 0.000
Mo4 0.000 0.500 0.500
Mo5 0.500 0.000 0.000
Mo6 0.500 0.000 0.500
Mo7 0.500 0.500 0.000
P1 0.500 0.500 0.500